Entry 1:
DFT (GGA-PBEsol) results for an optimized crystal structure of CdFe2Ir.

Values from the calculation:
The energy of formation from the pure elements comes out at 0.269 eV per atom.

Cell: 2.6713 2.6713 8.7093 Å, 90.00 90.00 115.18°
Site moments in Bohr magnetons follow the coordinates.
Sites, in units of the cell vectors:
Cd 0.5000 0.5000 0.2409  -0.03
Fe 0.0000 0.0000 0.9736  2.53
Fe 0.5000 0.5000 0.7615  2.65
Ir 0.0000 0.0000 0.5240  0.30


Entry 2:
DFT (GGA-PBEsol) results for an optimized crystal structure of CdFeIr.

Values from the calculation:
The energy of formation from the pure elements comes out at 0.656 eV per atom.

Cell: 4.2566 4.2566 4.2566 Å, 60.00 60.00 60.00°
Site moments in Bohr magnetons follow the coordinates.
Sites, in units of the cell vectors:
Cd 0.0000 0.0000 0.0000  0.01
Fe 0.5000 0.5000 0.5000  3.10
Ir 0.2500 0.2500 0.2500  0.55


Entry 3:
DFT (GGA-PBEsol) results for an optimized crystal structure of NaCdFeIr2.

Values from the calculation:
The energy of formation from the pure elements comes out at 1.062 eV per atom.

Cell: 4.4051 4.4051 4.6998 Å, 90.00 90.00 90.00°
Sites, in units of the cell vectors:
Na 0.0000 0.0000 0.5000
Ir 0.0000 0.5000 0.0000
Ir 0.5000 0.0000 0.0000
Fe 0.0000 0.0000 0.0000
Cd 0.5000 0.5000 0.5000


Entry 4:
DFT (GGA-PBEsol) results for an optimized crystal structure of KCd2Fe.

Values from the calculation:
Its energy above the lowest structure with this stoichiometry is 0.00 eV/f.u. The energy of formation from the pure elements comes out at 0.548 eV per atom.

Cell: 3.5526 3.5526 7.9342 Å, 90.00 90.00 90.00°
Site moments in Bohr magnetons follow the coordinates.
Sites, in units of the cell vectors:
Cd 0.0000 0.0000 0.0610  -0.02
Cd 0.5000 0.5000 0.3010  -0.05
Fe 0.0000 0.0000 0.4008  2.73
K 0.5000 0.5000 0.7372  -0.01